# 1
The following is a DFT calculation (PBE-GGA) of CsTe3Au after structural relaxation.

Cell lengths 5.650, 5.650, 5.650 Å; angles 90.00, 90.00, 90.00 degrees
Positions (direct):
Te (0.500, 0.000, 0.000)
Te (0.000, 0.500, 0.000)
Te (0.000, 0.000, 0.500)
Cs (0.500, 0.500, 0.500)
Au (0.000, 0.000, 0.000)

# 2
The following is a DFT calculation (PBE-GGA) of Zn2GeI2 after structural relaxation.

Cell lengths 7.301, 7.301, 4.877 Å; angles 90.00, 90.00, 90.00 degrees
Positions (direct):
I (0.311, 0.189, 0.500)
Zn (0.136, 0.364, 0.000)
Zn (0.636, 0.136, 0.000)
I (0.189, 0.689, 0.500)
Ge (0.000, 0.000, 0.000)
Zn (0.864, 0.636, 0.000)
I (0.689, 0.811, 0.500)
Zn (0.364, 0.864, 0.000)
I (0.811, 0.311, 0.500)
Ge (0.500, 0.500, 0.000)

# 3
The following is a DFT calculation (PBE-GGA) of NdHf4Ru5 after structural relaxation.

DFT formation energy: -64 kJ per mole of atoms

Cell lengths 3.272, 3.272, 16.747 Å; angles 90.00, 90.00, 90.00 degrees
Positions (direct):
Ru (0.500, 0.500, 0.121)
Hf (0.000, 0.000, 0.597)
Ru (0.500, 0.500, 0.500)
Hf (0.000, 0.000, 0.208)
Ru (0.500, 0.500, 0.691)
Hf (0.000, 0.000, 0.403)
Nd (0.000, 0.000, 0.000)
Ru (0.500, 0.500, 0.309)
Ru (0.500, 0.500, 0.879)
Hf (0.000, 0.000, 0.792)

# 4
The following is a DFT calculation (PBE-GGA) of Lu14In3Co3 after structural relaxation.

DFT formation energy: -31 kJ per mole of atoms

Cell lengths 9.331, 9.331, 22.772 Å; angles 90.00, 90.00, 90.00 degrees
Positions (direct):
Co (0.000, 0.781, 0.561)
Lu (0.500, 0.000, 0.464)
Lu (0.809, 0.000, 0.234)
Lu (0.688, 0.000, 0.721)
Lu (0.188, 0.500, 0.779)
Lu (0.812, 0.500, 0.779)
Co (0.781, 0.000, 0.439)
Co (0.500, 0.000, 0.803)
In (0.500, 0.500, 0.157)
Lu (0.698, 0.500, 0.947)
Lu (0.500, 0.812, 0.221)
Co (0.000, 0.219, 0.561)
Lu (0.184, 0.316, 0.145)
Lu (0.000, 0.191, 0.766)
Lu (0.809, 0.809, 0.000)
Lu (0.000, 0.500, 0.536)
Lu (0.816, 0.684, 0.145)
Lu (0.309, 0.691, 0.500)
Co (0.500, 0.281, 0.939)
Lu (0.500, 0.500, 0.396)
Lu (0.000, 0.802, 0.447)
Lu (0.191, 0.191, 0.000)
Lu (0.198, 0.000, 0.553)
Co (0.719, 0.500, 0.061)
Lu (0.191, 0.809, 0.000)
In (0.500, 0.500, 0.843)
Co (0.000, 0.500, 0.697)
Lu (0.500, 0.691, 0.734)
In (0.000, 0.000, 0.343)
Co (0.219, 0.000, 0.439)
Co (0.500, 0.000, 0.303)
Lu (0.684, 0.184, 0.855)
Lu (0.184, 0.684, 0.645)
In (0.840, 0.500, 0.395)
In (0.000, 0.340, 0.895)
Lu (0.191, 0.000, 0.234)
In (0.340, 0.000, 0.105)
Lu (0.309, 0.309, 0.500)
In (0.160, 0.500, 0.395)
Lu (0.691, 0.691, 0.500)
Lu (0.000, 0.809, 0.766)
Lu (0.684, 0.816, 0.855)
Lu (0.000, 0.198, 0.447)
Lu (0.691, 0.500, 0.266)
Lu (0.184, 0.316, 0.645)
In (0.660, 0.000, 0.105)
Lu (0.316, 0.816, 0.855)
Lu (0.802, 0.000, 0.553)
In (0.500, 0.840, 0.605)
Co (0.281, 0.500, 0.061)
Lu (0.500, 0.500, 0.604)
Lu (0.312, 0.000, 0.721)
Co (0.500, 0.719, 0.939)
Lu (0.500, 0.698, 0.053)
In (0.000, 0.660, 0.895)
In (0.500, 0.160, 0.605)
Lu (0.684, 0.816, 0.355)
Lu (0.309, 0.500, 0.266)
Lu (0.809, 0.191, 0.000)
Lu (0.000, 0.000, 0.896)
Lu (0.500, 0.302, 0.053)
Lu (0.691, 0.309, 0.500)
Lu (0.500, 0.188, 0.221)
Lu (0.816, 0.684, 0.645)
Lu (0.000, 0.312, 0.279)
Lu (0.816, 0.316, 0.145)
Lu (0.500, 0.000, 0.964)
Lu (0.316, 0.816, 0.355)
Lu (0.302, 0.500, 0.947)
Lu (0.316, 0.184, 0.355)
Lu (0.500, 0.309, 0.734)
Lu (0.000, 0.000, 0.104)
Lu (0.316, 0.184, 0.855)
Lu (0.184, 0.684, 0.145)
Lu (0.000, 0.500, 0.036)
In (0.000, 0.000, 0.657)
Lu (0.816, 0.316, 0.645)
Co (0.000, 0.500, 0.197)
Lu (0.684, 0.184, 0.355)
Lu (0.000, 0.688, 0.279)

# 5
The following is a DFT calculation (PBE-GGA) of Rb2OsPbO6 after structural relaxation.

Cell lengths 6.231, 6.231, 6.231 Å; angles 60.03, 60.03, 60.03 degrees
Positions (direct):
O (0.220, 0.206, 0.787)
O (0.787, 0.220, 0.206)
O (0.206, 0.787, 0.220)
Os (0.000, 0.000, 0.000)
Rb (0.250, 0.250, 0.250)
Pb (0.500, 0.500, 0.500)
O (0.780, 0.794, 0.213)
Rb (0.750, 0.750, 0.750)
O (0.213, 0.780, 0.794)
O (0.794, 0.213, 0.780)

# 6
The following is a DFT calculation (PBE-GGA) of Sm2Ni4SnSb3 after structural relaxation.

Cell lengths 4.389, 4.389, 10.265 Å; angles 90.00, 90.00, 90.00 degrees
Positions (direct):
Sm (0.500, 0.000, 0.237)
Sb (0.000, 0.500, 0.128)
Ni (0.000, 0.000, 0.000)
Sb (0.500, 0.000, 0.872)
Ni (0.000, 0.500, 0.369)
Ni (0.500, 0.000, 0.631)
Sb (0.000, 0.000, 0.500)
Sn (0.500, 0.500, 0.500)
Sm (0.000, 0.500, 0.763)
Ni (0.500, 0.500, 0.000)

# 7
The following is a DFT calculation (PBE-GGA) of PrTm2Pt after structural relaxation.

DFT formation energy: -67 kJ per mole of atoms

Cell lengths 4.776, 6.583, 7.530 Å; angles 90.00, 90.00, 111.31 degrees
Positions (direct):
Pt (0.197, 0.394, 0.250)
Tm (0.347, 0.694, 0.535)
Pr (0.956, 0.912, 0.250)
Tm (0.653, 0.306, 0.465)
Tm (0.347, 0.694, 0.965)
Pr (0.044, 0.088, 0.750)
Tm (0.653, 0.306, 0.035)
Pt (0.803, 0.606, 0.750)

# 8
The following is a DFT calculation (PBE-GGA) of GaHO after structural relaxation.

Cell lengths 4.554, 3.165, 5.555 Å; angles 90.00, 98.65, 90.00 degrees
Positions (direct):
H (0.051, 0.500, 0.848)
O (0.831, 0.000, 0.318)
Ga (0.571, 0.500, 0.456)
Ga (0.571, 0.000, 0.956)
H (0.051, 0.000, 0.348)
O (0.831, 0.500, 0.818)

# 9
The following is a DFT calculation (PBE-GGA) of Tb6Nd5Sm after structural relaxation.

DFT formation energy: 1 kJ per mole of atoms

Cell lengths 5.123, 10.191, 9.567 Å; angles 122.19, 105.53, 90.00 degrees
Positions (direct):
Tb (0.167, 0.416, 0.333)
Sm (0.000, 0.000, 0.000)
Tb (0.500, 0.750, 0.000)
Nd (0.000, 0.500, 0.000)
Tb (0.833, 0.584, 0.667)
Tb (0.500, 0.250, 0.000)
Nd (0.667, 0.667, 0.333)
Nd (0.334, 0.834, 0.668)
Tb (0.833, 0.083, 0.667)
Nd (0.666, 0.166, 0.332)
Nd (0.333, 0.333, 0.667)
Tb (0.167, 0.917, 0.333)

# 10
The following is a DFT calculation (PBE-GGA) of TaCo2Se after structural relaxation.

Cell lengths 4.430, 4.430, 4.406 Å; angles 76.33, 76.33, 42.31 degrees
Positions (direct):
Co (0.993, 0.993, 0.018)
Co (0.507, 0.507, 0.482)
Se (0.750, 0.750, 0.750)
Ta (0.250, 0.250, 0.250)

# 11
The following is a DFT calculation (PBE-GGA) of Sr2DyZn3Pt4 after structural relaxation.

DFT formation energy: -74 kJ per mole of atoms

Cell lengths 4.336, 4.336, 11.453 Å; angles 90.00, 90.00, 90.00 degrees
Positions (direct):
Zn (0.500, 0.000, 0.878)
Pt (0.500, 0.000, 0.652)
Zn (0.000, 0.500, 0.122)
Pt (0.000, 0.000, 0.000)
Pt (0.500, 0.500, 0.000)
Zn (0.000, 0.000, 0.500)
Pt (0.000, 0.500, 0.348)
Sr (0.500, 0.000, 0.223)
Sr (0.000, 0.500, 0.777)
Dy (0.500, 0.500, 0.500)

# 12
The following is a DFT calculation (PBE-GGA) of ScTe2Rh after structural relaxation.

Cell lengths 3.694, 3.694, 7.131 Å; angles 90.00, 90.00, 90.00 degrees
Positions (direct):
Te (0.500, 0.500, 0.349)
Sc (0.500, 0.500, 0.745)
Rh (0.000, 0.000, 0.502)
Te (0.000, 0.000, 0.903)

| no. | raw total energy (eV/atom) | calculated volume (A^3/atom) |
| --- | --- | --- |
| 1 | -2.857 | 36.08 |
| 2 | -1.813 | 26.00 |
| 3 | -9.760 | 17.93 |
| 4 | -4.964 | 24.78 |
| 5 | -5.907 | 17.12 |
| 6 | -5.510 | 19.77 |
| 7 | -5.633 | 27.57 |
| 8 | -4.590 | 13.19 |
| 9 | -4.681 | 33.42 |
| 10 | -7.303 | 14.07 |
| 11 | -4.359 | 21.53 |
| 12 | -5.686 | 24.33 |